*one*
3
Lattice="0.000 3.246 3.246 3.246 0.000 3.246 3.246 3.246 0.000" Properties=species:S:1:pos:R:3 comment="PBE YScNi, optimized geometry" crystal_system=cubic vol_a3_per_atom=22.794 spacegroup="F-43m, No. 216" total_magnetization_mub_per_cell=0.00 pbc="T T T"
Y 0.000 0.000 0.000
Sc 4.869 4.869 4.869
Ni 1.623 1.623 1.623

---

*two*
3
Lattice="4.312 0.000 0.000 -2.156 3.734 0.000 0.000 0.000 4.154" Properties=species:S:1:pos:R:3 comment="PBE YScNi, optimized geometry" crystal_system=trigonal vol_a3_per_atom=22.291 spacegroup="P3m1, No. 156" total_magnetization_mub_per_cell=0.00 pbc="T T T"
Y 0.000 0.000 0.000
Sc 2.156 1.245 2.084
Ni 0.000 2.489 1.574

---

Stability summary - winner: *two*; margin: 764 meV per atom.

---

*one*
3
Lattice="-1.655 1.655 5.930 1.655 -1.655 5.930 1.655 1.655 -5.930" Properties=species:S:1:pos:R:3 comment="PBE YScNi, optimized geometry" crystal_system=tetragonal vol_a3_per_atom=21.646 spacegroup="I4mm, No. 107" total_magnetization_mub_per_cell=0.00 pbc="T T T"
Y 0.000 0.000 0.000
Sc 0.000 0.000 3.160
Ni 0.000 0.000 7.725

---

*two*
3
Lattice="0.000 3.255 3.255 3.255 0.000 3.255 3.255 3.255 0.000" Properties=species:S:1:pos:R:3 comment="PBE YScNi, optimized geometry" crystal_system=cubic vol_a3_per_atom=22.982 spacegroup="F-43m, No. 216" total_magnetization_mub_per_cell=0.00 pbc="T T T"
Y 0.000 0.000 0.000
Sc 3.255 3.255 3.255
Ni 4.882 4.882 4.882

---

Stability summary - winner: *one*; margin: 117 meV per atom.

---

*one*
5
Lattice="4.692 0.000 0.000 0.000 4.692 0.000 0.000 0.000 4.692" Properties=species:S:1:pos:R:3 comment="PBE YScNi3, optimized geometry" crystal_system=cubic vol_a3_per_atom=20.656 spacegroup="Pm-3m, No. 221" total_magnetization_mub_per_cell=0.00 pbc="T T T"
Y 0.000 0.000 0.000
Sc 2.346 2.346 2.346
Ni 0.000 0.000 2.346
Ni 0.000 2.346 0.000
Ni 2.346 0.000 0.000

---

*two*
5
Lattice="4.546 0.000 0.000 0.000 4.546 0.000 0.000 0.000 4.546" Properties=species:S:1:pos:R:3 comment="PBE YScNi3, optimized geometry" crystal_system=cubic vol_a3_per_atom=18.792 spacegroup="Pm-3m, No. 221" total_magnetization_mub_per_cell=0.00 pbc="T T T"
Y 0.000 0.000 0.000
Sc 2.273 2.273 2.273
Ni 0.000 2.273 2.273
Ni 2.273 0.000 2.273
Ni 2.273 2.273 0.000

---

Stability summary - winner: *two*; margin: 538 meV per atom.

---

*one*
8
Lattice="-4.075 4.075 3.048 4.075 -4.075 3.048 4.075 4.075 -3.048" Properties=species:S:1:pos:R:3 comment="PBE Y2ScNi, optimized geometry" crystal_system=tetragonal vol_a3_per_atom=25.314 spacegroup="I-42d, No. 122" total_magnetization_mub_per_cell=0.00 pbc="T T T"
Y 2.038 1.473 -0.762
Y 2.603 -2.038 3.810
Y 2.038 2.603 2.286
Y 1.473 6.113 0.762
Sc 4.075 0.000 1.524
Sc 0.000 0.000 3.048
Ni 0.000 0.000 0.000
Ni 0.000 4.075 1.524

---

*two*
4
Lattice="-2.117 2.117 5.268 2.117 -2.117 5.268 2.117 2.117 -5.268" Properties=species:S:1:pos:R:3 comment="PBE Y2ScNi, optimized geometry" crystal_system=tetragonal vol_a3_per_atom=23.602 spacegroup="I-4m2, No. 119" total_magnetization_mub_per_cell=0.00 pbc="T T T"
Y 0.000 0.000 0.000
Y 0.000 2.117 2.634
Sc 0.000 0.000 5.268
Ni 2.117 0.000 2.634

---

Stability summary - winner: *one*; margin: 76 meV per atom.

---

*one*
10
Lattice="7.232 0.000 0.000 0.000 7.232 0.000 0.000 0.000 4.002" Properties=species:S:1:pos:R:3 comment="PBE Y2ScNi2, optimized geometry" crystal_system=tetragonal vol_a3_per_atom=20.928 spacegroup="P4/mbm, No. 127" total_magnetization_mub_per_cell=0.00 pbc="T T T"
Y 1.245 2.371 0.000
Y 2.371 5.986 0.000
Y 4.861 1.245 0.000
Y 5.986 4.861 0.000
Sc 0.000 0.000 2.001
Sc 3.616 3.616 2.001
Ni 0.897 4.513 2.001
Ni 2.719 0.897 2.001
Ni 4.513 6.334 2.001
Ni 6.334 2.719 2.001

---

*two*
5
Lattice="-2.655 2.655 3.936 2.655 -2.655 3.936 2.655 2.655 -3.936" Properties=species:S:1:pos:R:3 comment="PBE Y2ScNi2, optimized geometry" crystal_system=tetragonal vol_a3_per_atom=22.203 spacegroup="I4/mmm, No. 139" total_magnetization_mub_per_cell=0.00 pbc="T T T"
Y 2.655 0.000 1.968
Y 0.000 2.655 1.968
Sc 0.000 0.000 0.000
Ni 0.000 0.000 2.758
Ni 0.000 0.000 5.114

---

*three*
10
Lattice="8.003 0.000 0.000 0.000 8.003 0.000 0.000 0.000 3.200" Properties=species:S:1:pos:R:3 comment="PBE Y2ScNi2, optimized geometry" crystal_system=tetragonal vol_a3_per_atom=20.494 spacegroup="P4/mbm, No. 127" total_magnetization_mub_per_cell=0.03 pbc="T T T"
Y 1.145 2.856 0.000
Y 2.856 6.857 0.000
Y 5.147 1.145 0.000
Y 6.857 5.147 0.000
Sc 0.000 0.000 0.000
Sc 4.001 4.001 0.000
Ni 1.263 5.264 1.600
Ni 2.739 1.263 1.600
Ni 5.264 6.740 1.600
Ni 6.740 2.739 1.600

---

*four*
10
Lattice="6.157 -1.849 0.000 6.157 1.849 0.000 -5.339 0.000 9.341" Properties=species:S:1:pos:R:3 comment="PBE Y2ScNi2, optimized geometry" crystal_system=monoclinic vol_a3_per_atom=21.269 spacegroup="C2/m, No. 12" total_magnetization_mub_per_cell=0.00 pbc="T T T"
Y -0.530 0.000 1.784
Y -1.070 0.000 5.404
Y 8.046 0.000 3.937
Y 7.506 0.000 7.557
Sc 2.853 0.000 1.264
Sc 4.123 0.000 8.078
Ni -0.381 0.000 8.862
Ni 2.829 0.000 5.797
Ni 4.147 0.000 3.544
Ni 7.356 0.000 0.479

---

Stability summary - winner: *four*; margin: 30 meV per atom.

---

*one*
7
Lattice="2.274 1.313 7.235 -2.274 1.313 7.235 0.000 -2.625 7.235" Properties=species:S:1:pos:R:3 comment="PBE Sc4ZnNi2, optimized geometry" crystal_system=trigonal vol_a3_per_atom=18.510 spacegroup="R-3m, No. 166" total_magnetization_mub_per_cell=0.00 pbc="T T T"
Sc 0.000 0.000 2.558
Sc 0.000 0.000 8.028
Sc 0.000 0.000 13.676
Sc 0.000 0.000 19.146
Zn 0.000 0.000 10.852
Ni 0.000 0.000 5.343
Ni 0.000 0.000 16.361

---

*two*
7
Lattice="2.192 1.265 8.353 -2.192 1.265 8.353 0.000 -2.531 8.353" Properties=species:S:1:pos:R:3 comment="PBE Sc4ZnNi2, optimized geometry" crystal_system=trigonal vol_a3_per_atom=19.860 spacegroup="R-3m, No. 166" total_magnetization_mub_per_cell=0.00 pbc="T T T"
Sc 0.000 0.000 2.861
Sc 0.000 0.000 7.435
Sc 0.000 0.000 17.624
Sc 0.000 0.000 22.198
Zn 0.000 0.000 12.530
Ni 0.000 0.000 10.128
Ni 0.000 0.000 14.931

---

Stability summary - winner: *one*; margin: 123 meV per atom.

---

*one*
13
Lattice="2.525 1.458 9.043 -2.525 1.458 9.043 0.000 -2.915 9.043" Properties=species:S:1:pos:R:3 comment="PBE ScZn8Ni4, optimized geometry" crystal_system=trigonal vol_a3_per_atom=15.358 spacegroup="R-3m, No. 166" total_magnetization_mub_per_cell=1.52 pbc="T T T"
Sc 0.000 0.000 0.000
Zn -1.257 -0.726 15.635
Zn 0.000 -1.451 11.494
Zn -1.257 0.726 11.494
Zn 0.000 0.000 7.790
Zn 0.000 0.000 19.340
Zn 1.257 -0.726 15.635
Zn 0.000 1.451 15.635
Zn 1.257 0.726 11.494
Ni -2.525 0.000 13.565
Ni -1.262 0.729 4.522
Ni 1.262 0.729 4.522
Ni 0.000 0.000 13.565

---

*two*
13
Lattice="-4.234 4.234 2.529 4.234 -4.234 2.529 4.234 4.234 -2.529" Properties=species:S:1:pos:R:3 comment="PBE ScZn8Ni4, optimized geometry" crystal_system=tetragonal vol_a3_per_atom=13.945 spacegroup="I4/mmm, No. 139" total_magnetization_mub_per_cell=0.00 pbc="T T T"
Sc 0.000 0.000 0.000
Zn 2.845 0.000 0.000
Zn 5.622 0.000 0.000
Zn 4.234 2.377 0.000
Zn 0.000 2.845 0.000
Zn 2.377 4.234 0.000
Zn 1.857 0.000 2.529
Zn 0.000 5.622 0.000
Zn 0.000 1.857 2.529
Ni 2.117 2.117 -1.264
Ni 2.117 -2.117 1.264
Ni -2.117 2.117 1.264
Ni 2.117 2.117 1.264

---

Stability summary - winner: *two*; margin: 271 meV per atom.

---

*one*
5
Lattice="5.099 0.000 0.000 0.000 5.099 0.000 0.000 0.000 5.099" Properties=species:S:1:pos:R:3 comment="PBE ScZn3Ni, optimized geometry" crystal_system=cubic vol_a3_per_atom=26.519 spacegroup="Pm-3m, No. 221" total_magnetization_mub_per_cell=0.04 pbc="T T T"
Sc 0.000 0.000 0.000
Zn 0.000 0.000 2.550
Zn 0.000 2.550 0.000
Zn 2.550 0.000 0.000
Ni 2.550 2.550 2.550

---

*two*
15
Lattice="6.133 0.000 0.000 0.000 6.133 0.000 0.000 0.000 6.133" Properties=species:S:1:pos:R:3 comment="PBE ScZn3Ni, optimized geometry" crystal_system=cubic vol_a3_per_atom=15.380 spacegroup="Pm-3m, No. 221" total_magnetization_mub_per_cell=0.00 pbc="T T T"
Sc 0.000 0.000 3.067
Sc 0.000 3.067 0.000
Sc 3.067 0.000 0.000
Zn 0.000 0.000 0.000
Zn 1.747 1.747 1.747
Zn 1.747 1.747 4.386
Zn 1.747 4.386 1.747
Zn 1.747 4.386 4.386
Zn 4.386 1.747 1.747
Zn 4.386 1.747 4.386
Zn 4.386 4.386 1.747
Zn 4.386 4.386 4.386
Ni 0.000 3.067 3.067
Ni 3.067 0.000 3.067
Ni 3.067 3.067 0.000

---

Stability summary - winner: *two*; margin: 1608 meV per atom.